[1]
Here is BaMg2BiSb after structural relaxation from Alexandria via LeMat-Bulk. Energies are from PBE-GGA.

Values from the calculation:
DOS(E_F): 4.95 states/eV per cell
formation energy from raw total energies: 0.94 eV per atom

```
data_BaMg2BiSb
_chemical_formula_sum 'Ba1 Mg2 Bi1 Sb1'
_symmetry_space_group_name_H-M 'P 4/m m m'
_symmetry_Int_Tables_number 123
_symmetry_space_group_name_Hall '-P 4 2'
_cell_length_a 6.125
_cell_length_b 6.125
_cell_length_c 6.224
_cell_angle_alpha 90.00
_cell_angle_beta 90.00
_cell_angle_gamma 90.00
loop_
_atom_site_label
_atom_site_type_symbol
_atom_site_fract_x
_atom_site_fract_y
_atom_site_fract_z
Ba1 Ba 0.000 0.000 0.000
Mg1 Mg 0.000 0.500 0.000
Bi1 Bi 0.500 0.500 0.500
Sb1 Sb 0.000 0.000 0.500
```

---

[2]
Here is Ba2Mg2Bi2Sb after structural relaxation from Alexandria via LeMat-Bulk. Energies are from PBE-GGA.

Values from the calculation:
DOS(E_F): 3.12 states/eV per cell
formation energy from raw total energies: -0.66 eV per atom

```
data_Ba2Mg2Bi2Sb
_chemical_formula_sum 'Ba2 Mg2 Bi2 Sb1'
_symmetry_space_group_name_H-M 'P -1'
_symmetry_Int_Tables_number 2
_symmetry_space_group_name_Hall '-P 1'
_cell_length_a 4.965
_cell_length_b 7.604
_cell_length_c 7.772
_cell_angle_alpha 95.62
_cell_angle_beta 108.52
_cell_angle_gamma 109.05
loop_
_atom_site_label
_atom_site_type_symbol
_atom_site_fract_x
_atom_site_fract_y
_atom_site_fract_z
Ba1 Ba 0.246 0.188 0.304
Mg1 Mg 0.139 0.423 0.852
Bi1 Bi 0.468 0.808 0.129
Sb1 Sb 0.000 0.500 0.500
```

---

[3]
Here is Ba2Mg2ScBi4 after structural relaxation from Alexandria via LeMat-Bulk. Energies are from PBE-GGA.

Values from the calculation:
DOS(E_F): 6.35 states/eV per cell
formation energy: -0.664 eV per atom

```
data_Ba2Mg2ScBi4
_chemical_formula_sum 'Ba4 Mg4 Sc2 Bi8'
_symmetry_space_group_name_H-M 'C 1 2/m 1'
_symmetry_Int_Tables_number 12
_symmetry_space_group_name_Hall '-C 2y'
_cell_length_a 16.823
_cell_length_b 4.822
_cell_length_c 7.861
_cell_angle_alpha 90.00
_cell_angle_beta 108.69
_cell_angle_gamma 90.00
loop_
_atom_site_label
_atom_site_type_symbol
_atom_site_fract_x
_atom_site_fract_y
_atom_site_fract_z
Ba1 Ba 0.134 0.000 0.094
Mg1 Mg 0.169 0.500 0.489
Sc1 Sc 0.000 0.000 0.500
Bi1 Bi 0.003 0.500 0.756
Bi2 Bi 0.199 0.000 0.706
```

---

[4]
Here is BaMgScBi2 after structural relaxation from Alexandria via LeMat-Bulk. Energies are from PBE-GGA.

Values from the calculation:
DOS(E_F): 7.18 states/eV per cell
formation energy: -0.626 eV per atom

```
data_BaMgScBi2
_chemical_formula_sum 'Ba2 Mg2 Sc2 Bi4'
_symmetry_space_group_name_H-M 'I -4 m 2'
_symmetry_Int_Tables_number 119
_symmetry_space_group_name_Hall 'I -4 -2'
_cell_length_a 4.698
_cell_length_b 4.698
_cell_length_c 14.898
_cell_angle_alpha 90.00
_cell_angle_beta 90.00
_cell_angle_gamma 90.00
loop_
_atom_site_label
_atom_site_type_symbol
_atom_site_fract_x
_atom_site_fract_y
_atom_site_fract_z
Ba1 Ba 0.000 0.000 0.000
Mg1 Mg 0.000 0.500 0.250
Sc1 Sc 0.000 0.500 0.750
Bi1 Bi 0.000 0.000 0.375
```

---

- Number 4 is which compound?
  BaMgScBi2